1.
Compound: KY2MgNi
Source: the Alexandria database
Functional: GGA-PBE
Structure: relaxed

Formation energy from the elements   1.20 eV/atom
Calculated volume   189.6 Å³ per cell
Crystal system   tetragonal
Uncorrected energy   -15.4 eV/f.u.

a b c (Å): 5.7149 5.7149 5.8053
angles (deg): 90.00 90.00 90.00
Closest atoms and distances in Å follow each position.
Element x y z (fractional)
K 0.0000 0.0000 0.0000  2 Mg 2.90
Y 0.0000 0.5000 0.5000  2 Mg 2.86
Y 0.5000 0.0000 0.5000  2 Mg 2.86
Mg 0.0000 0.0000 0.5000  4 Y 2.86, 2 K 2.90
Ni 0.5000 0.5000 0.0000  4 K 4.04, 8 Y 4.07

=====

2.
Compound: K2MgNpO4
Source: the Alexandria database
Functional: GGA-PBE
Structure: relaxed

Energy relative to the elements, uncorrected   -2283 meV per atom
Calculated volume   122.5 Å³ per cell
Crystal system   monoclinic
Uncorrected energy   -54.8 eV/f.u.

a b c (Å): 5.6896 3.4601 6.4920
angles (deg): 90.00 106.53 90.00
Closest atoms and distances in Å follow each position.
Element x y z (fractional)
K 0.0000 0.0000 0.0000  6 O 2.76-2.77
K 0.5000 0.5000 0.0000  6 O 2.74-2.80
Mg 0.0000 0.5000 0.5000  6 O 2.18-2.29
Np 0.5000 0.0000 0.5000  6 O 2.16-2.31
O 0.2333 0.0000 0.6801  1 Np 2.16, 2 Mg 2.29
O 0.2641 0.5000 0.3137  1 Mg 2.18, 2 Np 2.31
O 0.7359 0.5000 0.6863  1 Mg 2.18, 2 Np 2.31
O 0.7667 0.0000 0.3199  1 Np 2.16, 2 Mg 2.29

=====

3.
Compound: KMg2NpO6
Source: the Alexandria database
Functional: GGA-PBE
Structure: relaxed

Energy relative to the elements, uncorrected   -2475 meV per atom
Calculated volume   296.7 Å³ per cell
Crystal system   monoclinic
Uncorrected energy   -71.7 eV/f.u.

a b c (Å): 6.9776 6.9776 6.1657
angles (deg): 91.65 91.65 98.42
Closest atoms and distances in Å follow each position.
Element x y z (fractional)
K 0.0814 0.9186 0.7500  6 O 2.75-2.95
K 0.9186 0.0814 0.2500  6 O 2.75-2.95
Mg 0.2437 0.4433 0.6635  4 O 1.97-2.12
Mg 0.4433 0.2437 0.1635  4 O 1.97-2.12
Mg 0.5567 0.7563 0.8365  4 O 1.97-2.12
Mg 0.7563 0.5567 0.3365  4 O 1.97-2.12
Np 0.2960 0.7040 0.2500  6 O 2.00-2.08
Np 0.7040 0.2960 0.7500  6 O 2.00-2.08
O 0.0180 0.7067 0.3268  1 Mg 1.97, 1 Np 2.01
O 0.2577 0.6318 0.9333  1 Np 2.00, 1 Mg 2.08
O 0.2790 0.4139 0.3250  2 Mg 2.03-2.12, 1 Np 2.08
O 0.2933 0.9820 0.1732  1 Mg 1.97, 1 Np 2.01
O 0.3682 0.7423 0.5667  1 Np 2.00, 1 Mg 2.08
O 0.4139 0.2790 0.8250  2 Mg 2.03-2.12, 1 Np 2.08
O 0.5861 0.7210 0.1750  2 Mg 2.03-2.12, 1 Np 2.08
O 0.6318 0.2577 0.4333  1 Np 2.00, 1 Mg 2.08
O 0.7067 0.0180 0.8268  1 Mg 1.97, 1 Np 2.01
O 0.7210 0.5861 0.6750  2 Mg 2.03-2.12, 1 Np 2.08
O 0.7423 0.3682 0.0667  1 Np 2.00, 1 Mg 2.08
O 0.9820 0.2933 0.6732  1 Mg 1.97, 1 Np 2.01

=====

| no. | spin magnetization (μB per cell) |
| --- | --- |
| 1 | 0.63 |
| 2 | 3.00 |
| 3 | 0.00 |